Entry 1:
First-principles (GGA-PBE) data for a relaxed structure of V2Ni4Rh, as listed in Alexandria.

POSCAR file:
```
V2Ni4Rh
1.0
-0.6299 -1.8370 -3.3227
1.3004 -2.0487 0.8861
-7.5525 -1.2766 4.3664
V Ni Rh
2 4 1
Cartesian
-5.9884 -2.6713 2.6121 V
-0.8937 -2.4910 -0.6822 V
-3.5967 -2.3824 -0.2299 Ni
-2.1146 -0.9433 0.9224 Ni
-3.2853 -2.7799 2.1597 Ni
-4.7675 -4.2190 1.0075 Ni
0.0000 0.0000 0.0000 Rh
```

DFT formation energy   -116 meV per atom
ρ   8.6 g/cm³
Distance to the lowest polymorph of the same formula   47 meV per atom
Uncorrected energy   -7.0752 eV per atom
Space-group type   No. 71


Entry 2:
First-principles (GGA-PBE) data for a relaxed structure of InCuNF2, as listed in Alexandria.

POSCAR file:
```
InCuNF2
1.0
-3.3154 -1.9731 -0.0389
1.9218 -3.2452 0.8137
-0.4893 0.7411 4.1111
In F Cu N
1 2 1 1
Cartesian
-0.9415 -2.2386 2.4430 In
-1.6577 -0.9866 -0.0195 F
0.9609 -1.6226 0.4069 F
0.0000 0.0000 0.0000 Cu
-0.2447 0.3705 2.0556 N
```

E_form (uncorrected)   -43.7 kJ per mole of atoms
ρ   6.1 g/cm³
Distance to the lowest polymorph of the same formula   0 meV per atom
Uncorrected energy   -4.2340 eV per atom
Space-group type   No. 123


Entry 3:
First-principles (GGA-PBE) data for a relaxed structure of Hf2PS3, as listed in Alexandria.

POSCAR file:
```
Hf2PS3
1.0
6.1995 -0.0401 -0.0440
0.0360 5.9071 -0.2031
0.0360 -0.7592 5.8616
S Hf P
6 4 2
Cartesian
4.6671 0.1535 2.3640 S
4.7144 4.5379 4.9880 S
1.5571 0.5700 0.6265 S
1.6043 4.9543 3.2505 S
1.6043 2.7689 5.2388 S
4.6671 2.3390 0.3757 S
3.1357 4.1781 1.3296 Hf
0.0360 0.9485 4.3081 Hf
0.0360 4.1994 1.3505 Hf
3.1357 0.9297 4.2849 Hf
1.5771 2.0118 2.2113 P
4.6944 3.0961 3.4032 P
```

E_form (uncorrected)   -106.7 kJ per mole of atoms
ρ   7.5 g/cm³
Uncorrected energy   -7.3893 eV per atom
Space-group type   No. 63